Material: SbICl2
Method: DFT, PBE
State: relaxed

Values from the calculation:
The energy above the lowest structure with this stoichiometry is 0.014 eV per atom. The value obtained for the spin magnetization is 0.00 Bohr magnetons per cell. The calculation puts the raw total energy at -3.004 eV/atom. The calculation puts the calculated density at 2.9 g/cm3. Its crystal system is monoclinic.

Geometry as POSCAR:
```
SbICl2
1.0
5.7138 -0.3244 0.0000
-3.3908 7.3703 0.0000
0.0000 0.0000 9.0377
Sb I Cl
2 2 4
direct
0.4803 0.4946 0.7500
0.5197 0.5054 0.2500
0.0040 0.8180 0.2500
0.9960 0.1820 0.7500
0.3883 0.6672 0.5594
0.6117 0.3328 0.4406
0.3883 0.6672 0.9406
0.6117 0.3328 0.0594
```